# 1
Computed, not measured: an optimized crystal structure of CdTc at the PBE-GGA level of DFT. Values from VASP.

```
&SYSTEM
  ibrav = 0, nat = 4, ntyp = 2
/
ATOMIC_SPECIES
Tc 98.00 Tc.upf
Cd 112.41 Cd.upf
CELL_PARAMETERS angstrom
-2.857 -0.711 0.443
0.837 -2.479 1.419
0.080 4.034 6.998
ATOMIC_POSITIONS crystal
Tc 0.750 0.750 0.412
Cd 0.250 0.250 0.149
Tc 0.250 0.250 0.588
Cd 0.750 0.750 0.851
```

Electronic total energy (eV/atom): -5.53
SG: P4/nmm, No. 129



# 2
Computed, not measured: an optimized crystal structure of SrTbAlS4 at the PBE-GGA level of DFT. Values from VASP.

```
&SYSTEM
  ibrav = 0, nat = 14, ntyp = 4
/
ATOMIC_SPECIES
S 32.06 S.upf
Tb 158.93 Tb.upf
Sr 87.62 Sr.upf
Al 26.98 Al.upf
CELL_PARAMETERS angstrom
-5.317 -3.315 -1.880
-1.736 -0.838 6.386
-2.089 7.772 0.451
ATOMIC_POSITIONS crystal
S 0.998 0.997 0.730
Tb 0.219 0.250 0.553
S 0.552 0.250 0.407
Tb 0.781 0.750 0.447
Sr 0.252 0.250 0.062
Sr 0.748 0.750 0.938
Al 0.758 0.250 0.680
S 0.998 0.503 0.730
S 0.558 0.250 0.860
Al 0.242 0.750 0.320
S 0.002 0.497 0.270
S 0.002 0.003 0.270
S 0.448 0.750 0.593
S 0.442 0.750 0.140
```

SG: P2_1/m, No. 11
Raw formation energy (eV/f.u.): -12.197



Copy entry 2 word for word.
Computed, not measured: an optimized crystal structure of SrTbAlS4 at the PBE-GGA level of DFT. Values from VASP.

```
&SYSTEM
  ibrav = 0, nat = 14, ntyp = 4
/
ATOMIC_SPECIES
S 32.06 S.upf
Tb 158.93 Tb.upf
Sr 87.62 Sr.upf
Al 26.98 Al.upf
CELL_PARAMETERS angstrom
-5.317 -3.315 -1.880
-1.736 -0.838 6.386
-2.089 7.772 0.451
ATOMIC_POSITIONS crystal
S 0.998 0.997 0.730
Tb 0.219 0.250 0.553
S 0.552 0.250 0.407
Tb 0.781 0.750 0.447
Sr 0.252 0.250 0.062
Sr 0.748 0.750 0.938
Al 0.758 0.250 0.680
S 0.998 0.503 0.730
S 0.558 0.250 0.860
Al 0.242 0.750 0.320
S 0.002 0.497 0.270
S 0.002 0.003 0.270
S 0.448 0.750 0.593
S 0.442 0.750 0.140
```

SG: P2_1/m, No. 11
Raw formation energy (eV/f.u.): -12.197



What did the second record say?
Computed, not measured: an optimized crystal structure of SrTbAlS4 at the PBE-GGA level of DFT. Values from VASP.

```
&SYSTEM
  ibrav = 0, nat = 14, ntyp = 4
/
ATOMIC_SPECIES
S 32.06 S.upf
Tb 158.93 Tb.upf
Sr 87.62 Sr.upf
Al 26.98 Al.upf
CELL_PARAMETERS angstrom
-5.317 -3.315 -1.880
-1.736 -0.838 6.386
-2.089 7.772 0.451
ATOMIC_POSITIONS crystal
S 0.998 0.997 0.730
Tb 0.219 0.250 0.553
S 0.552 0.250 0.407
Tb 0.781 0.750 0.447
Sr 0.252 0.250 0.062
Sr 0.748 0.750 0.938
Al 0.758 0.250 0.680
S 0.998 0.503 0.730
S 0.558 0.250 0.860
Al 0.242 0.750 0.320
S 0.002 0.497 0.270
S 0.002 0.003 0.270
S 0.448 0.750 0.593
S 0.442 0.750 0.140
```

SG: P2_1/m, No. 11
Raw formation energy (eV/f.u.): -12.197